No. 1
Below is Ba2TiRu after structural relaxation, with properties calculated at the PBEsol level.

Computed properties:
- formation energy from the elements (meV/atom) = 1029
- magnetic moment (μB per formula unit) = 2.36

Unit cell a=7.525 b=7.525 c=7.525 alpha=90.00 beta=90.00 gamma=90.00
Sites, in units of the cell vectors:
Ba: 0.250 0.250 0.250
Ba: 0.250 0.250 0.750
Ba: 0.250 0.750 0.250
Ba: 0.250 0.750 0.750
Ba: 0.750 0.250 0.250
Ba: 0.750 0.250 0.750
Ba: 0.750 0.750 0.250
Ba: 0.750 0.750 0.750
Ti: 0.000 0.000 0.000
Ti: 0.000 0.500 0.500
Ti: 0.500 0.000 0.500
Ti: 0.500 0.500 0.000
Ru: 0.000 0.000 0.500
Ru: 0.000 0.500 0.000
Ru: 0.500 0.000 0.000
Ru: 0.500 0.500 0.500


No. 2
Below is MgSc2Ta after structural relaxation, with properties calculated at the PBEsol level.

Computed properties:
- formation energy from the elements (meV/atom) = 215
- magnetic moment (μB per formula unit) = 0.00

Unit cell a=10.114 b=3.007 c=5.551 alpha=90.00 beta=100.14 gamma=90.00
Sites, in units of the cell vectors:
Mg: 0.000 0.000 0.000
Mg: 0.500 0.500 0.000
Sc: 0.245 0.000 0.734
Sc: 0.255 0.500 0.266
Sc: 0.745 0.500 0.734
Sc: 0.755 0.000 0.266
Ta: 0.000 0.500 0.500
Ta: 0.500 0.000 0.500


No. 3
Below is NbCoO2 after structural relaxation, with properties calculated at the PBEsol level.

Computed properties:
- magnetic moment (μB per formula unit) = 0.53

Unit cell a=4.658 b=4.658 c=8.786 alpha=90.00 beta=90.00 gamma=90.00
Sites, in units of the cell vectors:
Nb: 0.000 0.000 0.000
Nb: 0.000 0.500 0.250
Nb: 0.500 0.000 0.750
Nb: 0.500 0.500 0.500
Co: 0.000 0.000 0.500
Co: 0.000 0.500 0.750
Co: 0.500 0.000 0.250
Co: 0.500 0.500 0.000
O: 0.230 0.250 0.625
O: 0.250 0.730 0.875
O: 0.250 0.770 0.375
O: 0.270 0.250 0.125
O: 0.730 0.750 0.125
O: 0.750 0.230 0.375
O: 0.750 0.270 0.875
O: 0.770 0.750 0.625


No. 4
Below is Co2SiRh after structural relaxation, with properties calculated at the PBEsol level.

Computed properties:
- magnetic moment (μB per formula unit) = 2.71

Unit cell a=3.668 b=2.650 c=9.494 alpha=90.00 beta=90.00 gamma=90.00
Sites, in units of the cell vectors:
Co: 0.000 0.000 0.000
Co: 0.000 0.500 0.500
Co: 0.500 0.000 0.405
Co: 0.500 0.500 0.905
Si: 0.500 0.000 0.141
Si: 0.500 0.500 0.641
Rh: 0.000 0.000 0.742
Rh: 0.000 0.500 0.242


No. 5
Below is In after structural relaxation, with properties calculated at the PBEsol level.

Computed properties:
- energy above the most stable polymorph in this dataset (meV per atom) = 3
- formation energy from the elements (meV/atom) = 3
- magnetic moment (μB per formula unit) = 0.00

Unit cell a=3.188 b=5.770 c=11.013 alpha=90.00 beta=90.00 gamma=90.00
Sites, in units of the cell vectors:
In: 0.125 0.125 0.125
In: 0.125 0.625 0.625
In: 0.375 0.375 0.875
In: 0.375 0.875 0.375
In: 0.625 0.125 0.625
In: 0.625 0.625 0.125
In: 0.875 0.375 0.375
In: 0.875 0.875 0.875


No. 6
Below is Zr2Tc after structural relaxation, with properties calculated at the PBEsol level.

Computed properties:
- energy above the most stable polymorph in this dataset (meV per atom) = 88
- formation energy from the elements (meV/atom) = -176
- magnetic moment (μB per formula unit) = 0.00

Unit cell a=5.818 b=4.700 c=8.328 alpha=90.00 beta=90.00 gamma=90.00
Sites, in units of the cell vectors:
Zr: 0.018 0.250 0.216
Zr: 0.178 0.250 0.582
Zr: 0.322 0.750 0.082
Zr: 0.482 0.750 0.716
Zr: 0.518 0.250 0.284
Zr: 0.678 0.250 0.918
Zr: 0.822 0.750 0.418
Zr: 0.982 0.750 0.784
Tc: 0.172 0.250 0.924
Tc: 0.328 0.750 0.424
Tc: 0.672 0.250 0.576
Tc: 0.828 0.750 0.076


| no. | total energy (Ry per atom) |
| --- | --- |
| 1 | -0.343 |
| 2 | -0.489 |
| 3 | -0.612 |
| 4 | -0.563 |
| 5 | -0.219 |
| 6 | -0.734 |